A relaxed Pm4DySn2 crystal. Source: Alexandria, functional PBE.

Geometry as extended XYZ:
```
7
Lattice="5.274 0.000 0.000 2.637 4.568 0.000 2.637 1.523 10.105" Properties=species:S:1:pos:R:3 pbc="T T T"
Pm 7.911 4.568 8.861
Pm 7.911 4.568 3.493
Pm 2.637 1.523 1.244
Pm 2.637 1.523 6.613
Dy 5.274 3.045 5.053
Sn 5.274 3.045 1.991
Sn 5.274 3.045 8.114
```

Output
ρ (g/cm³): 6.68
Final energy (eV/cell): -33.3

---

A relaxed Pm4DySn3 crystal. Source: Alexandria, functional PBE.

Geometry as extended XYZ:
```
8
Lattice="-3.744 1.052 -2.701 5.147 -1.854 -7.858 -3.732 -4.333 7.637" Properties=species:S:1:pos:R:3 pbc="T T T"
Pm 2.857 -2.619 -4.981
Pm -5.186 -2.515 2.060
Pm -1.188 -1.566 -3.113
Pm -1.141 -3.568 0.192
Dy 0.000 0.000 0.000
Sn 0.713 -4.189 -2.620
Sn -3.042 -0.945 -0.301
Sn 0.701 -0.401 -5.279
```

Output
ρ (g/cm³): 7.33
Final energy (eV/cell): -40.3

---

A relaxed Pm7DySn2 crystal. Source: Alexandria, functional PBE.

Geometry as extended XYZ:
```
10
Lattice="5.609 0.000 0.000 0.000 9.120 -0.214 0.000 -4.215 8.090" Properties=species:S:1:pos:R:3 pbc="T T T"
Pm 0.000 6.066 1.688
Pm 0.000 -1.161 6.188
Pm 2.805 -0.756 2.450
Pm 2.805 5.660 5.426
Pm 2.805 2.532 0.402
Pm 2.805 2.373 7.474
Pm 2.805 2.452 3.938
Dy 0.000 0.000 0.000
Sn 2.805 5.079 2.302
Sn 2.805 -0.175 5.574
```

Output
ρ (g/cm³): 5.75
Final energy (eV/cell): -44.2

---

Calculated Fermi-level density of states (states/eV/f.u.), listed in the same order as above: 10.4; 6.8; 20.7